No. 1
# CsNaBO2, optimized geometry, DFT GGA-PBE
data_CsNaBO2
_chemical_formula_sum 'Cs2 Na2 B2 O4'
_cell_length_a 8.1148
_cell_length_b 5.5033
_cell_length_c 7.3742
_cell_angle_alpha 90.00
_cell_angle_beta 115.74
_cell_angle_gamma 90.00
_symmetry_space_group_name_H-M 'P 1 2/c 1'
_symmetry_Int_Tables_number 13
_symmetry_space_group_name_Hall '-P 2yc'
loop_
_atom_site_label
_atom_site_type_symbol
_atom_site_fract_x
_atom_site_fract_y
_atom_site_fract_z
Cs1 Cs 0.0000 0.2231 0.2500
Na1 Na 0.5000 0.4986 0.7500
B1 B 0.5000 0.0000 0.0000
O1 O 0.4399 0.2174 0.4705
# Spin magnetization (μB/cell): 0.0
# Crystal system: monoclinic
# Total energy (eV per atom): -5.39
# Energy relative to the elements, uncorrected (meV/atom): -1635

No. 2
# PrDy5Y3, optimized geometry, DFT GGA-PBE
data_PrDy5Y3
_chemical_formula_sum 'Pr4 Dy20 Y12'
_cell_length_a 16.2380
_cell_length_b 6.7262
_cell_length_c 11.4455
_cell_angle_alpha 90.00
_cell_angle_beta 108.39
_cell_angle_gamma 90.00
_symmetry_space_group_name_H-M 'C 1 2/c 1'
_symmetry_Int_Tables_number 15
_symmetry_space_group_name_Hall '-C 2yc'
loop_
_atom_site_label
_atom_site_type_symbol
_atom_site_fract_x
_atom_site_fract_y
_atom_site_fract_z
Pr1 Pr 0.0000 0.2257 0.2500
Dy1 Dy 0.0000 0.3212 0.7500
Dy2 Dy 0.1079 0.4956 0.5442
Dy3 Dy 0.1761 0.1207 0.8766
Y1 Y 0.0000 0.0000 0.0000
Y2 Y 0.2389 0.3794 0.3541
# Spin magnetization (μB/cell): 0.0
# Crystal system: monoclinic
# Total energy (eV per atom): -5.07
# Energy above the lowest structure with this stoichiometry (eV per atom): 0.000
# Formation energy from the elements (eV per atom): 0.17

No. 3
# Tl2SiAu, optimized geometry, DFT GGA-PBE
data_Tl2SiAu
_chemical_formula_sum 'Tl4 Si2 Au2'
_cell_length_a 7.3441
_cell_length_b 4.2375
_cell_length_c 7.4552
_cell_angle_alpha 90.00
_cell_angle_beta 108.81
_cell_angle_gamma 90.00
_symmetry_space_group_name_H-M 'C 1 m 1'
_symmetry_Int_Tables_number 8
_symmetry_space_group_name_Hall 'C -2y'
loop_
_atom_site_label
_atom_site_type_symbol
_atom_site_fract_x
_atom_site_fract_y
_atom_site_fract_z
Tl1 Tl 0.0000 0.0000 0.0000
Tl2 Tl 0.2021 0.0000 0.6128
Si1 Si 0.4356 0.0000 0.3095
Au1 Au 0.2663 0.5000 0.3017
# Spin magnetization (μB/cell): 0.0
# Crystal system: monoclinic
# Total energy (eV per atom): -3.33
# Energy relative to the elements, uncorrected (meV/atom): 28
# Energy above the lowest structure with this stoichiometry (eV per atom): 0.000

No. 4
# Rb14Y2O9, optimized geometry, DFT GGA-PBE
data_Rb14Y2O9
_chemical_formula_sum 'Rb14 Y2 O9'
_cell_length_a 8.2834
_cell_length_b 8.2834
_cell_length_c 11.6905
_cell_angle_alpha 90.00
_cell_angle_beta 90.00
_cell_angle_gamma 120.00
_symmetry_space_group_name_H-M 'P -3'
_symmetry_Int_Tables_number 147
_symmetry_space_group_name_Hall '-P 3'
loop_
_atom_site_label
_atom_site_type_symbol
_atom_site_fract_x
_atom_site_fract_y
_atom_site_fract_z
Rb1 Rb 0.0000 0.0000 0.2493
Rb2 Rb 0.0206 0.6658 0.4048
Rb3 Rb 0.0972 0.3896 0.0924
Y1 Y 0.3333 0.6667 0.7835
O1 O 0.0000 0.0000 0.5000
O2 O 0.1189 0.3890 0.8445
O3 O 0.3333 0.6667 0.5978
# Spin magnetization (μB/cell): 1.5
# Crystal system: trigonal
# Total energy (eV per atom): -4.19
# Energy relative to the elements, uncorrected (meV/atom): -1345

No. 5
# CdPRuS2, optimized geometry, DFT GGA-PBE
data_CdPRuS2
_chemical_formula_sum 'Cd1 P1 Ru1 S2'
_cell_length_a 4.9314
_cell_length_b 4.9314
_cell_length_c 4.8765
_cell_angle_alpha 90.00
_cell_angle_beta 90.00
_cell_angle_gamma 90.00
_symmetry_space_group_name_H-M 'P 4/m m m'
_symmetry_Int_Tables_number 123
_symmetry_space_group_name_Hall '-P 4 2'
loop_
_atom_site_label
_atom_site_type_symbol
_atom_site_fract_x
_atom_site_fract_y
_atom_site_fract_z
Cd1 Cd 0.0000 0.0000 0.0000
P1 P 0.0000 0.0000 0.5000
Ru1 Ru 0.5000 0.5000 0.5000
S1 S 0.0000 0.5000 0.0000
# Spin magnetization (μB/cell): 2.6
# Crystal system: tetragonal
# Total energy (eV per atom): -3.24
# Energy relative to the elements, uncorrected (meV/atom): 1529
# Energy above the lowest structure with this stoichiometry (eV per atom): 1.150

No. 6
# PPt4, optimized geometry, DFT GGA-PBE
data_PPt4
_chemical_formula_sum 'P1 Pt4'
_cell_length_a 4.4543
_cell_length_b 4.4543
_cell_length_c 4.4543
_cell_angle_alpha 90.00
_cell_angle_beta 90.00
_cell_angle_gamma 90.00
_symmetry_space_group_name_H-M 'P m -3 m'
_symmetry_Int_Tables_number 221
_symmetry_space_group_name_Hall '-P 4 2 3'
loop_
_atom_site_label
_atom_site_type_symbol
_atom_site_fract_x
_atom_site_fract_y
_atom_site_fract_z
P1 P 0.0000 0.0000 0.0000
Pt1 Pt 0.0000 0.0000 0.5000
Pt2 Pt 0.5000 0.5000 0.5000
# Spin magnetization (μB/cell): 0.0
# Crystal system: cubic
# Total energy (eV per atom): -5.58
# Energy above the lowest structure with this stoichiometry (eV per atom): 0.476
# Formation energy from the elements (eV per atom): 0.33

No. 7
# Li2HoTm2In2, optimized geometry, DFT GGA-PBE
data_Li2HoTm2In2
_chemical_formula_sum 'Li6 Ho3 Tm6 In6'
_cell_length_a 4.8256
_cell_length_b 4.8256
_cell_length_c 26.1138
_cell_angle_alpha 90.00
_cell_angle_beta 90.00
_cell_angle_gamma 120.00
_symmetry_space_group_name_H-M 'R -3 m'
_symmetry_Int_Tables_number 166
_symmetry_space_group_name_Hall '-R 3 2"'
loop_
_atom_site_label
_atom_site_type_symbol
_atom_site_fract_x
_atom_site_fract_y
_atom_site_fract_z
Li1 Li 0.0000 0.0000 0.1025
Ho1 Ho 0.0000 0.0000 0.5000
Tm1 Tm 0.0000 0.0000 0.3720
In1 In 0.0000 0.0000 0.2388
# Spin magnetization (μB/cell): 0.0
# Crystal system: trigonal
# Total energy (eV per atom): -3.47
# Formation energy from the elements (eV per atom): -0.21

No. 8
# CrRh2, optimized geometry, DFT GGA-PBE
data_CrRh2
_chemical_formula_sum 'Cr4 Rh8'
_cell_length_a 9.7489
_cell_length_b 2.6860
_cell_length_c 6.3153
_cell_angle_alpha 90.00
_cell_angle_beta 103.91
_cell_angle_gamma 90.00
_symmetry_space_group_name_H-M 'C 1 m 1'
_symmetry_Int_Tables_number 8
_symmetry_space_group_name_Hall 'C -2y'
loop_
_atom_site_label
_atom_site_type_symbol
_atom_site_fract_x
_atom_site_fract_y
_atom_site_fract_z
Cr1 Cr 0.0000 0.0000 0.0000
Cr2 Cr 0.1690 0.5000 0.3299
Rh1 Rh 0.0612 0.0000 0.6029
Rh2 Rh 0.2149 0.5000 0.9514
Rh3 Rh 0.3381 0.0000 0.6710
Rh4 Rh 0.3942 0.0000 0.2708
# Spin magnetization (μB/cell): 0.4
# Crystal system: monoclinic
# Total energy (eV per atom): -8.18
# Formation energy from the elements (eV per atom): -0.07

No. 9
# Li2ZnTc, optimized geometry, DFT GGA-PBE
data_Li2ZnTc
_chemical_formula_sum 'Li4 Zn2 Tc2'
_cell_length_a 10.0544
_cell_length_b 2.4962
_cell_length_c 5.0572
_cell_angle_alpha 90.00
_cell_angle_beta 115.95
_cell_angle_gamma 90.00
_symmetry_space_group_name_H-M 'C 1 m 1'
_symmetry_Int_Tables_number 8
_symmetry_space_group_name_Hall 'C -2y'
loop_
_atom_site_label
_atom_site_type_symbol
_atom_site_fract_x
_atom_site_fract_y
_atom_site_fract_z
Li1 Li 0.0000 0.0000 0.0000
Li2 Li 0.2403 0.0000 0.9432
Zn1 Zn 0.2429 0.5000 0.4509
Tc1 Tc 0.4858 0.0000 0.4870
# Spin magnetization (μB/cell): 0.0
# Crystal system: monoclinic
# Total energy (eV per atom): -3.76
# Formation energy from the elements (eV per atom): 0.11

No. 10
# YCo2Re, optimized geometry, DFT GGA-PBE
data_YCo2Re
_chemical_formula_sum 'Y3 Co6 Re3'
_cell_length_a 4.0784
_cell_length_b 4.0784
_cell_length_c 14.4861
_cell_angle_alpha 90.00
_cell_angle_beta 90.00
_cell_angle_gamma 120.00
_symmetry_space_group_name_H-M 'R -3 m'
_symmetry_Int_Tables_number 166
_symmetry_space_group_name_Hall '-R 3 2"'
loop_
_atom_site_label
_atom_site_type_symbol
_atom_site_fract_x
_atom_site_fract_y
_atom_site_fract_z
Y1 Y 0.0000 0.0000 0.0000
Co1 Co 0.0000 0.0000 0.1989
Re1 Re 0.0000 0.0000 0.5000
# Spin magnetization (μB/cell): 0.0
# Crystal system: trigonal
# Total energy (eV per atom): -8.31
# Energy above the lowest structure with this stoichiometry (eV per atom): 0.000
# Formation energy from the elements (eV per atom): -0.03

No. 11
# Ac3InB2Rh9, optimized geometry, DFT GGA-PBE
data_Ac3InB2Rh9
_chemical_formula_sum 'Ac3 In1 B2 Rh9'
_cell_length_a 6.1412
_cell_length_b 6.1412
_cell_length_c 8.5269
_cell_angle_alpha 90.00
_cell_angle_beta 90.00
_cell_angle_gamma 120.00
_symmetry_space_group_name_H-M 'P -3 m 1'
_symmetry_Int_Tables_number 164
_symmetry_space_group_name_Hall '-P 3 2"'
loop_
_atom_site_label
_atom_site_type_symbol
_atom_site_fract_x
_atom_site_fract_y
_atom_site_fract_z
Ac1 Ac 0.0000 0.0000 0.0000
Ac2 Ac 0.3333 0.6667 0.6575
In1 In 0.0000 0.0000 0.5000
B1 B 0.3333 0.6667 0.1387
Rh1 Rh 0.0000 0.5000 0.0000
Rh2 Rh 0.1749 0.3499 0.2807
# Spin magnetization (μB/cell): 0.0
# Crystal system: trigonal
# Total energy (eV per atom): -6.81
# Formation energy from the elements (eV per atom): -0.51